[1]
The following is a PBE-GGA calculation of a relaxed structure of PrAgPbS3, from OQMD.

a b c (Å): 7.5907 4.1251 9.9140
angles (deg): 90.00 104.56 90.00
With the nearest neighbours (Å) after each atom.
Fractional coordinates of all 12 atoms:
Pr1 0.2139 0.2500 0.1502  6 S 2.83-3.00
Pr2 0.7861 0.7500 0.8498  6 S 2.83-3.00
Ag1 0.3932 0.7500 0.4143  3 S 2.54-2.58
Ag2 0.6068 0.2500 0.5857  3 S 2.54-2.58
Pb1 0.2088 0.7500 0.6902  7 S 3.05-3.17, 1 Ag 3.37
Pb2 0.7912 0.2500 0.3098  7 S 3.05-3.17, 1 Ag 3.37
S1 0.0589 0.2500 0.8587  3 Pr 2.83-2.91, 2 Pb 3.05
S2 0.2057 0.2500 0.4507  2 Ag 2.58
S3 0.4767 0.7500 0.1818  1 Ag 2.54, 2 Pr 2.83
S4 0.5233 0.2500 0.8182  1 Ag 2.54, 2 Pr 2.83
S5 0.7943 0.7500 0.5493  2 Ag 2.58
S6 0.9411 0.7500 0.1413  3 Pr 2.83-2.91, 2 Pb 3.05

Properties
V = 25.0 A^3/atom
size of the total moment = 0.000 μB per cell
E above lowest polymorph = 28 meV per atom

[2]
The following is a PBE-GGA calculation of a relaxed structure of Ho2ErMg3Al2Cd, from OQMD.

a b c (Å): 4.5243 7.3807 7.3807
angles (deg): 119.97 90.00 90.00
With the nearest neighbours (Å) after each atom.
Fractional coordinates of all 9 atoms:
Ho1 0.0000 0.2143 0.7857  4 Al 3.15, 1 Cd 3.16, 2 Mg 3.30
Ho2 0.0000 0.7857 0.2143  4 Al 3.15, 1 Cd 3.16, 2 Mg 3.30
Er1 0.0000 0.6428 0.6428  4 Al 3.15, 1 Cd 3.16, 2 Mg 3.30
Mg1 0.5000 0.2143 0.4603  2 Al 2.84, 2 Cd 2.90, 2 Mg 3.15
Mg2 0.5000 0.4603 0.2143  2 Al 2.84, 2 Cd 2.90, 2 Mg 3.15
Mg3 0.5000 0.9682 0.9682  2 Al 2.84, 2 Cd 2.90, 2 Mg 3.15
Al1 0.5000 0.5477 0.8809  3 Mg 2.84, 2 Er 3.15, 4 Ho 3.15
Al2 0.5000 0.8809 0.5477  3 Mg 2.84, 2 Er 3.15, 4 Ho 3.15
Cd1 0.0000 0.2144 0.2144  6 Mg 2.90, 1 Er 3.16, 2 Ho 3.16

Properties
total energy = -3.28 eV/atom
V = 23.7 A^3/atom
size of the total moment = 0.003 μB per cell

[3]
The following is a PBE-GGA calculation of a relaxed structure of PaTeNO, from OQMD.

a b c (Å): 3.8871 3.8871 8.2206
angles (deg): 90.00 90.00 90.00
With the nearest neighbours (Å) after each atom.
Fractional coordinates of all 8 atoms:
Pa1 0.2500 0.2500 0.1600  4 O 2.35
Pa2 0.7500 0.7500 0.8400  4 O 2.35
Te1 0.2500 0.7500 0.5000  4 Te 2.75, 4 N 3.02
Te2 0.7500 0.2500 0.5000  4 Te 2.75, 4 N 3.02
N1 0.2500 0.2500 0.7811  4 O 2.65, 4 Pa 2.79
N2 0.7500 0.7500 0.2189  4 O 2.65, 4 Pa 2.79
O1 0.2500 0.7500 0.0000  4 Pa 2.35
O2 0.7500 0.2500 0.0000  4 Pa 2.35

Properties
V = 15.5 A^3/atom
size of the total moment = 0.001 μB per cell
E above lowest polymorph = 581 meV per atom